<1>
Compound: ReW7
Source: Alexandria via LeMat-Bulk
Functional: GGA-PBE
Structure: optimized geometry

Magnetization: 0.000 μB per atom
Crystal system: cubic

CIF file:
```
data_ReW7
_cell_length_a 8.049
_cell_length_b 8.049
_cell_length_c 8.049
_cell_angle_alpha 90.00
_cell_angle_beta 90.00
_cell_angle_gamma 90.00
_symmetry_space_group_name_H-M 'F m -3 m'
_symmetry_Int_Tables_number 225
_symmetry_space_group_name_Hall '-F 4 2 3'
loop_
_atom_site_label
_atom_site_type_symbol
_atom_site_fract_x
_atom_site_fract_y
_atom_site_fract_z
Re1 Re 0.000 0.000 0.000
W1 W 0.000 0.000 0.500
W2 W 0.000 0.250 0.250
```

<2>
Compound: ReW7
Source: Alexandria via LeMat-Bulk
Functional: GGA-PBE
Structure: optimized geometry

Magnetization: 0.000 μB per atom
Crystal system: trigonal

CIF file:
```
data_ReW7
_cell_length_a 8.9791
_cell_length_b 8.9791
_cell_length_c 11.0103
_cell_angle_alpha 90.00
_cell_angle_beta 90.00
_cell_angle_gamma 120.00
_symmetry_space_group_name_H-M 'R -3 m'
_symmetry_Int_Tables_number 166
_symmetry_space_group_name_Hall '-R 3 2"'
loop_
_atom_site_label
_atom_site_type_symbol
_atom_site_fract_x
_atom_site_fract_y
_atom_site_fract_z
Re1 Re 0.0000 0.0000 0.1267
W1 W 0.0000 0.0000 0.3744
W2 W 0.0006 0.5003 0.1250
W3 W 0.0010 0.5005 0.6250
```

Which of them is most stable, and which least? Most stable: <2>; least stable: <1>.

<1>
Compound: Re5W3
Source: Alexandria via LeMat-Bulk
Functional: GGA-PBE
Structure: optimized geometry

Magnetization: 0.000 μB per atom
Crystal system: hexagonal

CIF file:
```
data_Re5W3
_cell_length_a 7.6992
_cell_length_b 7.6992
_cell_length_c 4.9929
_cell_angle_alpha 90.00
_cell_angle_beta 90.00
_cell_angle_gamma 120.00
_symmetry_space_group_name_H-M 'P 63/m c m'
_symmetry_Int_Tables_number 193
_symmetry_space_group_name_Hall '-P 6c 2'
loop_
_atom_site_label
_atom_site_type_symbol
_atom_site_fract_x
_atom_site_fract_y
_atom_site_fract_z
Re1 Re 0.0000 0.2183 0.2500
Re2 Re 0.3333 0.6667 0.0000
W1 W 0.0000 0.4037 0.7500
```

<2>
Compound: Re5W3
Source: Alexandria via LeMat-Bulk
Functional: GGA-PBE
Structure: optimized geometry

Magnetization: 0.000 μB per atom
Crystal system: monoclinic

CIF file:
```
data_Re5W3
_cell_length_a 4.981
_cell_length_b 15.085
_cell_length_c 7.205
_cell_angle_alpha 90.00
_cell_angle_beta 110.14
_cell_angle_gamma 90.00
_symmetry_space_group_name_H-M 'C 1 m 1'
_symmetry_Int_Tables_number 8
loop_
_symmetry_equiv_pos_as_xyz
'x,y,z'
'x,-y,z'
'x+1/2,y+1/2,z'
'x+1/2,-y+1/2,z'
loop_
_atom_site_label
_atom_site_type_symbol
_atom_site_fract_x
_atom_site_fract_y
_atom_site_fract_z
Re1 Re 0.000 0.000 0.000
Re2 Re 0.013 0.500 0.998
Re3 Re 0.088 0.406 0.661
Re4 Re 0.171 0.142 0.828
Re5 Re 0.370 0.172 0.228
Re6 Re 0.425 0.383 0.338
W1 W 0.062 0.000 0.609
W2 W 0.243 0.307 0.974
W3 W 0.290 0.250 0.566
W4 W 0.429 0.000 0.346
```

Which of them is most stable, and which least? Most stable: <2>; least stable: <1>.

<1>
Compound: Y2ReW
Source: Alexandria via LeMat-Bulk
Functional: GGA-PBE
Structure: optimized geometry

Magnetization: 0.000 μB per atom
Crystal system: cubic

CIF file:
```
data_Y2ReW
_cell_length_a 6.858
_cell_length_b 6.858
_cell_length_c 6.858
_cell_angle_alpha 90.00
_cell_angle_beta 90.00
_cell_angle_gamma 90.00
_symmetry_space_group_name_H-M 'F -4 3 m'
_symmetry_Int_Tables_number 216
_symmetry_space_group_name_Hall 'F -4 2 3'
loop_
_atom_site_label
_atom_site_type_symbol
_atom_site_fract_x
_atom_site_fract_y
_atom_site_fract_z
Y1 Y 0.000 0.000 0.000
Y2 Y 0.250 0.250 0.250
Re1 Re 0.250 0.250 0.750
W1 W 0.000 0.000 0.500
```

<2>
Compound: Y2ReW
Source: Alexandria via LeMat-Bulk
Functional: GGA-PBE
Structure: optimized geometry

Magnetization: 0.000 μB per atom
Crystal system: monoclinic

CIF file:
```
data_Y2ReW
_cell_length_a 5.880
_cell_length_b 9.776
_cell_length_c 2.954
_cell_angle_alpha 90.00
_cell_angle_beta 107.86
_cell_angle_gamma 90.00
_symmetry_space_group_name_H-M 'C 1 2/m 1'
_symmetry_Int_Tables_number 12
loop_
_symmetry_equiv_pos_as_xyz
'x,y,z'
'-x,-y,-z'
'-x,y,-z'
'x,-y,z'
'x+1/2,y+1/2,z'
'-x+1/2,-y+1/2,-z'
'-x+1/2,y+1/2,-z'
'x+1/2,-y+1/2,z'
loop_
_atom_site_label
_atom_site_type_symbol
_atom_site_fract_x
_atom_site_fract_y
_atom_site_fract_z
Y1 Y 0.250 0.250 0.000
Re1 Re 0.000 0.000 0.500
W1 W 0.000 0.500 0.500
```

<3>
Compound: Y2ReW
Source: Alexandria via LeMat-Bulk
Functional: GGA-PBE
Structure: optimized geometry

Magnetization: 0.000 μB per atom
Crystal system: orthorhombic

CIF file:
```
data_Y2ReW
_cell_length_a 2.895
_cell_length_b 4.915
_cell_length_c 5.769
_cell_angle_alpha 90.00
_cell_angle_beta 90.00
_cell_angle_gamma 90.00
_symmetry_space_group_name_H-M 'P m m m'
_symmetry_Int_Tables_number 47
loop_
_symmetry_equiv_pos_as_xyz
'x,y,z'
'-x,-y,-z'
'-x,-y,z'
'x,y,-z'
'x,-y,-z'
'-x,y,z'
'-x,y,-z'
'x,-y,z'
loop_
_atom_site_label
_atom_site_type_symbol
_atom_site_fract_x
_atom_site_fract_y
_atom_site_fract_z
Y1 Y 0.000 0.000 0.245
Re1 Re 0.500 0.500 0.000
W1 W 0.500 0.500 0.500
```

<4>
Compound: Y2ReW
Source: Alexandria via LeMat-Bulk
Functional: GGA-PBE
Structure: optimized geometry

Magnetization: 0.000 μB per atom
Crystal system: trigonal

CIF file:
```
data_Y2ReW
_cell_length_a 3.2803
_cell_length_b 3.2803
_cell_length_c 29.5849
_cell_angle_alpha 90.00
_cell_angle_beta 90.00
_cell_angle_gamma 120.00
_symmetry_space_group_name_H-M 'R 3 m'
_symmetry_Int_Tables_number 160
_symmetry_space_group_name_Hall 'R 3 -2"'
loop_
_atom_site_label
_atom_site_type_symbol
_atom_site_fract_x
_atom_site_fract_y
_atom_site_fract_z
Y1 Y 0.0000 0.0000 0.0000
Y2 Y 0.0000 0.0000 0.2249
Re1 Re 0.0000 0.0000 0.7484
W1 W 0.0000 0.0000 0.4721
```

Which of them is most stable, and which least? Most stable: <1>; least stable: <3>.

<1>
Compound: Y2ReW
Source: Alexandria via LeMat-Bulk
Functional: GGA-PBE
Structure: optimized geometry

Magnetization: 0.000 μB per atom
Crystal system: orthorhombic

CIF file:
```
data_Y2ReW
_cell_length_a 3.445
_cell_length_b 4.659
_cell_length_c 10.304
_cell_angle_alpha 90.00
_cell_angle_beta 90.00
_cell_angle_gamma 90.00
_symmetry_space_group_name_H-M 'I m m m'
_symmetry_Int_Tables_number 71
_symmetry_space_group_name_Hall '-I 2 2'
loop_
_atom_site_label
_atom_site_type_symbol
_atom_site_fract_x
_atom_site_fract_y
_atom_site_fract_z
Y1 Y 0.000 0.000 0.220
Re1 Re 0.000 0.500 0.500
W1 W 0.000 0.500 0.000
```

<2>
Compound: Y2ReW
Source: Alexandria via LeMat-Bulk
Functional: GGA-PBE
Structure: optimized geometry

Magnetization: 0.578 μB per atom
Crystal system: cubic

CIF file:
```
data_Y2ReW
_cell_length_a 6.980
_cell_length_b 6.980
_cell_length_c 6.980
_cell_angle_alpha 90.00
_cell_angle_beta 90.00
_cell_angle_gamma 90.00
_symmetry_space_group_name_H-M 'F m -3 m'
_symmetry_Int_Tables_number 225
_symmetry_space_group_name_Hall '-F 4 2 3'
loop_
_atom_site_label
_atom_site_type_symbol
_atom_site_fract_x
_atom_site_fract_y
_atom_site_fract_z
Y1 Y 0.250 0.250 0.250
Re1 Re 0.000 0.000 0.000
W1 W 0.000 0.000 0.500
```

Which of them is most stable, and which least? Most stable: <1>; least stable: <2>.